1.
Compound: U2CoRu
Source: Alexandria
Functional: PBE
Structure: relaxed

Output
For the magnetization, the calculation gives 0.002 μB/atom. The value obtained for the energy of formation is -0.027 eV per atom.

Structure (CIF):
```
data_U2CoRu
_space_group_name_H-M_alt 'P 4/m m m'
_space_group_IT_number 123
_space_group_name_Hall '-P 4 2'
_cell_length_a 3.353
_cell_length_b 3.353
_cell_length_c 6.232
_cell_angle_alpha 90.00
_cell_angle_beta 90.00
_cell_angle_gamma 90.00
loop_
_atom_site_label
_atom_site_type_symbol
_atom_site_fract_x
_atom_site_fract_y
_atom_site_fract_z
U1 U 0.000 0.000 0.216
Co1 Co 0.500 0.500 0.000
Ru1 Ru 0.500 0.500 0.500
```

=====

2.
Compound: UCo4Ru
Source: Alexandria
Functional: PBE
Structure: relaxed

Output
For the magnetization, the calculation gives 0.675 μB/atom. The value obtained for the energy of formation is -0.039 eV per atom.

Structure (CIF):
```
data_UCo4Ru
_space_group_name_H-M_alt 'F -4 3 m'
_space_group_IT_number 216
_space_group_name_Hall 'F -4 2 3'
_cell_length_a 6.839
_cell_length_b 6.839
_cell_length_c 6.839
_cell_angle_alpha 90.00
_cell_angle_beta 90.00
_cell_angle_gamma 90.00
loop_
_atom_site_label
_atom_site_type_symbol
_atom_site_fract_x
_atom_site_fract_y
_atom_site_fract_z
U1 U 0.000 0.000 0.000
Co1 Co 0.124 0.124 0.624
Ru1 Ru 0.250 0.250 0.250
```

=====

3.
Compound: UCoRu2
Source: Alexandria
Functional: PBE
Structure: relaxed

Output
For the magnetization, the calculation gives 0.409 μB/atom. The value obtained for the energy of formation is 0.029 eV per atom.

Structure (CIF):
```
data_UCoRu2
_space_group_name_H-M_alt 'P 4/m m m'
_space_group_IT_number 123
_space_group_name_Hall '-P 4 2'
_cell_length_a 3.346
_cell_length_b 3.346
_cell_length_c 5.608
_cell_angle_alpha 90.00
_cell_angle_beta 90.00
_cell_angle_gamma 90.00
loop_
_atom_site_label
_atom_site_type_symbol
_atom_site_fract_x
_atom_site_fract_y
_atom_site_fract_z
U1 U 0.000 0.000 0.000
Co1 Co 0.000 0.000 0.500
Ru1 Ru 0.500 0.500 0.253
```

=====

4.
Compound: U2CoRu
Source: Alexandria
Functional: PBE
Structure: relaxed

Output
For the magnetization, the calculation gives 0.510 μB/atom. The value obtained for the energy of formation is 0.015 eV per atom.

Structure (CIF):
```
data_U2CoRu
_space_group_name_H-M_alt 'R -3 m'
_space_group_IT_number 166
_space_group_name_Hall '-R 3 2"'
_cell_length_a 3.8154
_cell_length_b 3.8154
_cell_length_c 18.4903
_cell_angle_alpha 90.00
_cell_angle_beta 90.00
_cell_angle_gamma 120.00
loop_
_atom_site_label
_atom_site_type_symbol
_atom_site_fract_x
_atom_site_fract_y
_atom_site_fract_z
U1 U 0.0000 0.0000 0.2456
Co1 Co 0.0000 0.0000 0.5000
Ru1 Ru 0.0000 0.0000 0.0000
```

=====

5.
Compound: VCo2Ru
Source: Alexandria
Functional: PBE
Structure: relaxed

Output
For the magnetization, the calculation gives 0.000 μB/atom. The value obtained for the energy of formation is -0.142 eV per atom.

Structure (CIF):
```
data_VCo2Ru
_space_group_name_H-M_alt 'P 4/m m m'
_space_group_IT_number 123
_space_group_name_Hall '-P 4 2'
_cell_length_a 3.605
_cell_length_b 3.605
_cell_length_c 3.654
_cell_angle_alpha 90.00
_cell_angle_beta 90.00
_cell_angle_gamma 90.00
loop_
_atom_site_label
_atom_site_type_symbol
_atom_site_fract_x
_atom_site_fract_y
_atom_site_fract_z
V1 V 0.000 0.000 0.000
Co1 Co 0.000 0.500 0.500
Ru1 Ru 0.500 0.500 0.000
```

=====

6.
Compound: V2Co3Ru
Source: Alexandria
Functional: PBE
Structure: relaxed

Output
For the magnetization, the calculation gives 0.000 μB/atom. The value obtained for the energy of formation is -0.159 eV per atom.

Structure (CIF):
```
data_V2Co3Ru
_space_group_name_H-M_alt 'C m m m'
_space_group_IT_number 65
_space_group_name_Hall '-C 2 2'
_cell_length_a 3.594
_cell_length_b 10.996
_cell_length_c 3.600
_cell_angle_alpha 90.00
_cell_angle_beta 90.00
_cell_angle_gamma 90.00
loop_
_atom_site_label
_atom_site_type_symbol
_atom_site_fract_x
_atom_site_fract_y
_atom_site_fract_z
V1 V 0.000 0.160 0.000
Co1 Co 0.000 0.000 0.500
Co2 Co 0.000 0.332 0.500
Ru1 Ru 0.000 0.500 0.000
```

=====

Which value of energy of formation does entry 2 give?
-0.039 eV per atom